[1]
Compound: Na4UC3O11
Source: Alexandria via LeMat-Bulk
Functional: PBEsol
Structure: optimized geometry

Properties
The total magnetization is 0.00 μB/cell. For the total energy, the calculation gives -7.5091 eV/atom. As for the formation energy (no corrections): -2013 meV/atom.

Structure (POSCAR):
```
Na4UC3O11
1.0
-6.284 6.873 -0.283
2.028 -4.780 -7.737
-9.395 -8.476 2.774
O Na U C
44 16 4 12
Direct
0.667 0.333 0.773
0.452 0.405 0.619
0.144 0.766 0.358
0.965 0.785 0.877
0.595 0.048 0.619
0.333 0.667 0.014
0.623 0.856 0.358
0.377 0.144 0.642
0.965 0.179 0.377
0.234 0.377 0.358
0.215 0.179 0.877
0.333 0.667 0.227
0.144 0.377 0.858
0.785 0.965 0.623
0.667 0.333 0.986
0.035 0.821 0.623
0.952 0.405 0.119
0.766 0.144 0.142
0.623 0.766 0.858
0.667 0.333 0.273
0.595 0.548 0.119
0.333 0.667 0.514
0.405 0.952 0.381
0.179 0.965 0.123
0.048 0.595 0.881
0.952 0.548 0.619
0.821 0.035 0.877
0.377 0.234 0.142
0.035 0.215 0.123
0.215 0.035 0.377
0.048 0.452 0.381
0.333 0.667 0.727
0.785 0.821 0.123
0.548 0.952 0.881
0.667 0.333 0.486
0.856 0.623 0.142
0.452 0.048 0.119
0.856 0.234 0.642
0.179 0.215 0.623
0.405 0.452 0.881
0.821 0.785 0.377
0.548 0.595 0.381
0.234 0.856 0.858
0.766 0.623 0.642
0.000 0.000 0.750
0.562 0.692 0.625
0.438 0.130 0.875
0.438 0.308 0.375
0.130 0.692 0.125
0.870 0.562 0.375
0.000 0.000 0.000
0.000 0.000 0.250
0.562 0.870 0.125
0.870 0.308 0.875
0.130 0.438 0.625
0.308 0.870 0.625
0.000 0.000 0.500
0.308 0.438 0.125
0.692 0.130 0.375
0.692 0.562 0.875
0.333 0.667 0.371
0.333 0.667 0.871
0.667 0.333 0.629
0.667 0.333 0.129
0.923 0.253 0.128
0.671 0.923 0.872
0.329 0.253 0.628
0.329 0.077 0.128
0.077 0.329 0.372
0.253 0.923 0.372
0.671 0.747 0.372
0.747 0.671 0.128
0.923 0.671 0.628
0.077 0.747 0.872
0.253 0.329 0.872
0.747 0.077 0.628
```


[2]
Compound: Na3YC3O9
Source: Alexandria via LeMat-Bulk
Functional: PBEsol
Structure: optimized geometry

Properties
The total magnetization is 0.00 μB/cell. For the total energy, the calculation gives -7.4645 eV/atom. As for the formation energy (no corrections): -2015 meV/atom.

Structure (POSCAR):
```
Na3YC3O9
1.0
-6.277 0.850 -1.366
2.027 -6.138 -0.451
-2.260 -1.444 9.487
Na O C Y
6 18 6 2
Direct
0.070 0.070 0.500
0.203 0.799 0.750
0.799 0.203 0.250
0.405 0.366 0.250
0.366 0.405 0.750
0.070 0.070 0.000
0.813 0.572 0.250
0.436 0.095 0.114
0.948 0.974 0.750
0.725 0.105 0.985
0.105 0.725 0.485
0.095 0.436 0.614
0.572 0.813 0.750
0.095 0.436 0.886
0.725 0.105 0.515
0.444 0.162 0.890
0.974 0.948 0.250
0.591 0.765 0.250
0.444 0.162 0.610
0.105 0.725 0.015
0.162 0.444 0.390
0.162 0.444 0.110
0.436 0.095 0.386
0.765 0.591 0.750
0.118 0.534 0.498
0.759 0.787 0.750
0.787 0.759 0.250
0.118 0.534 0.002
0.534 0.118 0.502
0.534 0.118 0.998
0.771 0.228 0.750
0.228 0.771 0.250
```


[3]
Compound: NaOs2PbC
Source: Alexandria via LeMat-Bulk
Functional: PBEsol
Structure: optimized geometry

Properties
The total magnetization is 2.26 μB/cell. The formation energy is 3936 meV per atom. For the total energy, the calculation gives -3.9592 eV/atom.

Structure (POSCAR):
```
NaOs2PbC
1.0
4.589 0.000 0.000
0.000 4.589 0.000
0.000 0.000 4.931
Os Pb C Na
2 1 1 1
Direct
0.000 0.500 0.000
0.500 0.000 0.000
0.000 0.000 0.500
0.500 0.500 0.500
0.000 0.000 0.000
```


[4]
Compound: NaOsPbC2
Source: Alexandria via LeMat-Bulk
Functional: PBEsol
Structure: optimized geometry

Properties
The total magnetization is 1.92 μB/cell. The formation energy is 3498 meV per atom. For the total energy, the calculation gives -3.8828 eV/atom.

Structure (POSCAR):
```
NaOsPbC2
1.0
-3.183 -2.968 -0.702
0.761 -1.756 3.972
-3.429 3.188 2.066
C Na Os Pb
2 1 1 1
Direct
0.500 0.000 0.000
0.000 0.500 0.000
0.000 0.000 0.500
0.500 0.500 0.500
0.000 0.000 0.000
```


[5]
Compound: NaP2C
Source: Alexandria via LeMat-Bulk
Functional: PBEsol
Structure: optimized geometry

Properties
The total magnetization is 0.00 μB/cell. The formation energy is 425 meV per atom. For the total energy, the calculation gives -5.2320 eV/atom.

Structure (POSCAR):
```
NaP2C
1.0
5.392 0.027 0.044
-2.066 4.981 -0.044
-2.066 -2.237 4.451
P C Na
4 2 2
Direct
0.891 0.516 0.125
0.391 0.875 0.766
0.609 0.375 0.484
0.109 0.234 0.625
0.000 0.500 0.500
0.500 0.250 0.750
0.500 0.750 0.250
0.000 0.000 0.000
```


[6]
Compound: Na3PC
Source: Alexandria via LeMat-Bulk
Functional: PBEsol
Structure: optimized geometry

Properties
The total magnetization is 1.99 μB/cell. The formation energy is 1219 meV per atom. For the total energy, the calculation gives -2.7078 eV/atom.

Structure (POSCAR):
```
Na3PC
1.0
5.347 0.000 0.000
0.000 5.347 0.000
0.000 0.000 5.347
P Na C
1 3 1
Direct
0.000 0.000 0.000
0.000 0.500 0.000
0.000 0.000 0.500
0.500 0.000 0.000
0.500 0.500 0.500
```


Please write out number 3 again, unchanged.
Compound: NaOs2PbC
Source: Alexandria via LeMat-Bulk
Functional: PBEsol
Structure: optimized geometry

Properties
The total magnetization is 2.26 μB/cell. The formation energy is 3936 meV per atom. For the total energy, the calculation gives -3.9592 eV/atom.

Structure (POSCAR):
```
NaOs2PbC
1.0
4.589 0.000 0.000
0.000 4.589 0.000
0.000 0.000 4.931
Os Pb C Na
2 1 1 1
Direct
0.000 0.500 0.000
0.500 0.000 0.000
0.000 0.000 0.500
0.500 0.500 0.500
0.000 0.000 0.000
```


- total energy of number 1 (Na4UC3O11)?
  -7.5091 eV/atom


What did the fifth record say?
Compound: NaP2C
Source: Alexandria via LeMat-Bulk
Functional: PBEsol
Structure: optimized geometry

Properties
The total magnetization is 0.00 μB/cell. The formation energy is 425 meV per atom. For the total energy, the calculation gives -5.2320 eV/atom.

Structure (POSCAR):
```
NaP2C
1.0
5.392 0.027 0.044
-2.066 4.981 -0.044
-2.066 -2.237 4.451
P C Na
4 2 2
Direct
0.891 0.516 0.125
0.391 0.875 0.766
0.609 0.375 0.484
0.109 0.234 0.625
0.000 0.500 0.500
0.500 0.250 0.750
0.500 0.750 0.250
0.000 0.000 0.000
```